1.
DFT (GGA-PBE) results for a relaxed SrTi2Si2 crystal.

Values from the calculation:
**D(E_F)**: 4.06 states/eV/cell
**Formation energy without anion corrections**: -0.433 eV per atom
**Total magnetization**: 0.0000 μB per atom
**Energy above the lowest structure with this stoichiometry**: 0.000 eV/atom

Cell and atoms, written as extended XYZ:
```
5
Lattice="-2.132 2.132 5.766 2.132 -2.132 5.766 2.132 2.132 -5.766" Properties=species:S:1:pos:R:3 pbc="T T T"
Sr 0.000 0.000 0.000
Ti 2.132 0.000 2.883
Ti 0.000 2.132 2.883
Si 0.000 0.000 4.367
Si 0.000 0.000 7.166
```



2.
DFT (GGA-PBE) results for a relaxed PRu crystal.

Values from the calculation:
**D(E_F)**: 1.06 states/eV/cell
**Total magnetization**: 0.0000 μB per atom
**Energy of formation**: -346 meV/atom
**Energy above the lowest structure with this stoichiometry**: 0.215 eV/atom

Cell and atoms, written as extended XYZ:
```
2
Lattice="2.562 -1.483 0.000 2.562 1.483 0.000 -1.714 0.000 3.931" Properties=species:S:1:pos:R:3 pbc="T T T"
P 0.000 0.000 0.000
Ru -0.002 0.000 2.395
```



3.
DFT (GGA-PBE) results for a relaxed CaYErLu crystal.

Values from the calculation:
**D(E_F)**: 7.44 states/eV/cell
**Total magnetization**: 0.0000 μB per atom
**Energy of formation**: 170 meV/atom

Cell and atoms, written as extended XYZ:
```
4
Lattice="0.000 4.031 4.031 4.031 0.000 4.031 4.031 4.031 0.000" Properties=species:S:1:pos:R:3 pbc="T T T"
Ca 0.000 0.000 0.000
Y 2.016 2.016 2.016
Er 6.047 6.047 6.047
Lu 4.031 4.031 4.031
```



4.
DFT (GGA-PBE) results for a relaxed Rb2TcCl crystal.

Values from the calculation:
**D(E_F)**: 6.58 states/eV/cell
**Formation energy without anion corrections**: 0.397 eV per atom
**Total magnetization**: 0.5209 μB per atom
**Energy above the lowest structure with this stoichiometry**: 0.000 eV/atom

Cell and atoms, written as extended XYZ:
```
8
Lattice="-6.296 6.296 2.255 6.296 -6.296 2.255 6.296 6.296 -2.255" Properties=species:S:1:pos:R:3 pbc="T T T"
Rb 0.739 3.148 0.564
Rb -3.148 5.557 1.691
Rb -0.739 9.443 0.564
Rb 3.148 7.034 1.691
Tc 6.296 0.000 1.128
Tc 0.000 0.000 2.255
Cl 0.000 0.000 0.000
Cl 0.000 6.296 1.128
```



5.
DFT (GGA-PBE) results for a relaxed Ce3Pm5Ru12 crystal.

Values from the calculation:
**D(E_F)**: 83.68 states/eV/cell
**Total magnetization**: 0.0000 μB per atom
**Energy of formation**: 548 meV/atom

Cell and atoms, written as extended XYZ:
```
80
Lattice="-7.894 7.894 7.894 7.894 -7.894 7.894 7.894 7.894 -7.894" Properties=species:S:1:pos:R:3 pbc="T T T"
Ce 3.947 1.973 0.000
Ce 7.894 3.947 -1.973
Ce 1.973 0.000 3.947
Ce 9.867 0.000 3.947
Ce 0.000 3.947 1.973
Ce 3.947 -1.973 7.894
Ce 3.947 9.867 0.000
Ce 7.894 3.947 5.920
Ce -1.973 7.894 3.947
Ce 5.920 7.894 3.947
Ce 0.000 3.947 9.867
Ce 3.947 5.920 7.894
Pm 0.000 0.000 0.000
Pm 3.947 3.947 -3.947
Pm 3.947 -3.947 3.947
Pm 7.894 0.000 0.000
Pm 11.840 1.973 0.000
Pm 7.894 -3.947 5.920
Pm 5.920 7.894 -3.947
Pm 5.920 0.000 3.947
Pm 3.947 5.920 0.000
Pm 7.894 3.947 1.973
Pm -3.947 3.947 3.947
Pm 0.000 7.894 0.000
Pm 0.000 0.000 7.894
Pm 3.947 3.947 3.947
Pm 0.000 3.947 5.920
Pm 3.947 1.973 7.894
Pm 1.973 7.894 3.947
Pm 1.973 0.000 11.840
Pm 0.000 11.840 1.973
Pm -3.947 5.920 7.894
Ru 7.808 -1.582 2.241
Ru 11.926 -1.706 2.365
Ru 2.241 -0.085 1.582
Ru 9.599 5.529 -4.032
Ru 10.135 0.085 1.582
Ru 9.599 -2.365 4.032
Ru 1.582 2.241 -0.085
Ru 10.259 3.862 -1.706
Ru 5.529 4.032 -1.706
Ru 6.312 2.241 0.085
Ru -0.085 1.582 2.241
Ru 4.032 -1.706 5.529
Ru 7.808 6.312 -2.241
Ru 4.032 1.706 2.365
Ru 6.312 -2.241 7.808
Ru 5.529 -4.032 9.599
Ru 2.365 4.032 1.706
Ru 9.475 5.652 0.085
Ru 2.241 7.808 -1.582
Ru 9.599 2.365 3.862
Ru 1.706 2.365 4.032
Ru 2.241 0.085 6.312
Ru 4.032 9.599 -2.365
Ru 7.808 1.582 5.652
Ru 0.085 6.312 2.241
Ru 3.862 -1.706 10.259
Ru 5.652 7.808 1.582
Ru 6.188 5.529 3.862
Ru -1.706 5.529 4.032
Ru 5.652 0.085 9.475
Ru -1.582 2.241 7.808
Ru 5.529 3.862 6.188
Ru 2.365 11.926 -1.706
Ru 1.582 10.135 0.085
Ru 3.862 6.188 5.529
Ru 0.085 1.582 10.135
Ru 3.862 9.599 2.365
Ru 7.979 6.312 5.652
Ru 1.582 5.652 7.808
Ru 2.365 3.862 9.599
Ru -2.365 4.032 9.599
Ru 6.312 5.652 7.979
Ru -1.706 10.259 3.862
Ru -2.241 7.808 6.312
Ru -1.706 2.365 11.926
Ru 5.652 7.979 6.312
Ru -4.032 9.599 5.529
Ru 0.085 9.475 5.652
```



6.
DFT (GGA-PBE) results for a relaxed K2MgNb2 crystal.

Values from the calculation:
**D(E_F)**: 5.23 states/eV/cell
**Total magnetization**: 0.0000 μB per atom
**Energy of formation**: 752 meV/atom
**Energy above the lowest structure with this stoichiometry**: 0.000 eV/atom

Cell and atoms, written as extended XYZ:
```
5
Lattice="-1.844 1.844 12.929 1.844 -1.844 12.929 1.844 1.844 -12.929" Properties=species:S:1:pos:R:3 pbc="T T T"
K 0.000 0.000 3.074
K 0.000 0.000 22.783
Mg 0.000 0.000 12.929
Nb 1.844 0.000 6.464
Nb 0.000 1.844 6.464
```



7.
DFT (GGA-PBE) results for a relaxed Sr2Ag2RhO6 crystal.

Values from the calculation:
**D(E_F)**: 5.42 states/eV/cell
**Formation energy without anion corrections**: -1.210 eV per atom
**Total magnetization**: 0.2606 μB per atom

Cell and atoms, written as extended XYZ:
```
11
Lattice="3.063 -5.355 0.000 3.063 5.355 0.000 -0.663 0.000 6.238" Properties=species:S:1:pos:R:3 pbc="T T T"
Sr 3.063 3.579 0.000
Sr 3.063 -3.579 0.000
Ag 2.731 1.452 3.119
Ag 2.731 -1.452 3.119
Rh 3.063 0.000 0.000
O 0.794 0.000 5.204
O 2.236 1.490 1.113
O 3.226 1.490 5.125
O 2.236 -1.490 1.113
O 3.226 -1.490 5.125
O 4.668 0.000 1.035
```



8.
DFT (GGA-PBE) results for a relaxed PmAlZn6Cu crystal.

Values from the calculation:
**D(E_F)**: 8.88 states/eV/cell
**Total magnetization**: 0.0000 μB per atom
**Energy of formation**: 21 meV/atom

Cell and atoms, written as extended XYZ:
```
18
Lattice="-3.398 4.468 5.486 3.398 -4.468 5.486 3.398 4.468 -5.486" Properties=species:S:1:pos:R:3 pbc="T T T"
Pm 0.000 2.234 2.215
Pm 3.398 2.234 3.271
Al 1.699 2.234 -2.743
Al 1.699 -2.234 2.743
Zn 2.102 0.033 1.356
Zn 4.694 0.033 1.356
Zn 3.398 -2.234 4.641
Zn 3.398 2.234 -0.080
Zn 2.102 4.502 -1.356
Zn 1.296 0.033 4.130
Zn 2.102 4.435 1.356
Zn 1.296 -0.033 6.842
Zn 0.000 2.234 5.566
Zn 0.000 6.703 0.845
Zn -1.296 4.435 4.130
Zn 1.296 4.435 4.130
Cu 0.000 0.000 0.000
Cu 0.000 4.468 0.000
```



9.
DFT (GGA-PBE) results for a relaxed PuZn2Pd3 crystal.

Values from the calculation:
**D(E_F)**: 34.48 states/eV/cell
**Total magnetization**: 0.9007 μB per atom
**Energy of formation**: -472 meV/atom

Cell and atoms, written as extended XYZ:
```
12
Lattice="4.415 0.000 0.000 -2.208 3.824 0.000 0.000 0.000 12.593" Properties=species:S:1:pos:R:3 pbc="T T T"
Pu 0.000 0.000 3.148
Pu 0.000 0.000 9.445
Zn 0.000 2.549 0.999
Zn 0.000 2.549 5.298
Zn 2.208 1.275 7.295
Zn 2.208 1.275 11.594
Pd 0.000 0.000 0.000
Pd 0.000 0.000 6.296
Pd 0.000 2.549 7.890
Pd 0.000 2.549 10.999
Pd 2.208 1.275 1.594
Pd 2.208 1.275 4.703
```



10.
DFT (GGA-PBE) results for a relaxed BiAsI2Cl crystal.

Values from the calculation:
**D(E_F)**: 3.99 states/eV/cell
**Formation energy without anion corrections**: 0.225 eV per atom
**Total magnetization**: 0.0817 μB per atom
**Energy above the lowest structure with this stoichiometry**: 0.000 eV/atom

Cell and atoms, written as extended XYZ:
```
5
Lattice="5.568 0.000 0.000 0.000 5.568 0.000 0.000 0.000 5.802" Properties=species:S:1:pos:R:3 pbc="T T T"
Bi 0.000 0.000 0.000
As 0.000 0.000 2.901
I 0.000 2.784 2.901
I 2.784 0.000 2.901
Cl 2.784 2.784 0.000
```



11.
DFT (GGA-PBE) results for a relaxed Sc3CdN crystal.

Values from the calculation:
**D(E_F)**: 15.45 states/eV/cell
**Formation energy without anion corrections**: -0.363 eV per atom
**Total magnetization**: 0.2432 μB per atom

Cell and atoms, written as extended XYZ:
```
10
Lattice="4.134 2.387 3.527 -4.134 2.387 3.527 0.000 -4.773 3.527" Properties=species:S:1:pos:R:3 pbc="T T T"
Sc -1.001 -1.733 2.645
Sc -1.001 1.733 2.645
Sc 2.001 0.000 2.645
Sc -2.001 0.000 7.936
Sc 1.001 -1.733 7.936
Sc 1.001 1.733 7.936
Cd 0.000 0.000 0.000
Cd 0.000 0.000 5.291
N 0.000 0.000 2.645
N 0.000 0.000 7.936
```



12.
DFT (GGA-PBE) results for a relaxed BeTeF crystal.

Values from the calculation:
**D(E_F)**: 3.85 states/eV/cell
**Formation energy without anion corrections**: -1.569 eV per atom
**Total magnetization**: 0.0000 μB per atom

Cell and atoms, written as extended XYZ:
```
18
Lattice="8.564 -2.546 0.000 8.564 2.546 0.000 -6.481 0.000 9.156" Properties=species:S:1:pos:R:3 pbc="T T T"
Be 5.323 1.953 4.578
Be 8.175 1.282 4.147
Be 11.575 1.271 1.160
Be 8.564 -1.953 0.000
Be 4.934 -1.282 8.725
Be 8.334 -1.271 5.738
Te 1.558 1.420 7.432
Te 9.203 1.609 1.892
Te 3.631 0.173 4.861
Te 6.871 -0.173 0.284
Te 4.799 -1.420 2.854
Te 5.962 -1.609 6.469
F 3.324 0.085 0.454
F 0.084 -0.085 5.032
F 6.629 1.307 4.031
F 11.814 0.099 0.159
F 8.574 -0.099 4.737
F 3.389 -1.307 8.609
```



> Number 10 is which compound?

BiAsI2Cl